1.
Computed, not measured: crystalline AlFe2Hg at its relaxed geometry at the GGA-PBEsol level of DFT.

The calculation puts the density of states at the Fermi level at 3.29 states/eV/f.u. The formation energy comes out at 0.147 eV per atom.

It has space group I4/mmm (No. 139), with a = 3.7622 Å, b = 3.7622 Å, c = 7.9129 Å, α = 90.00°, β = 90.00° and γ = 90.00°. The distinct sites, in fractional coordinates, are Al at (0.0000, 0.0000, 0.0000), Fe at (0.0000, 0.5000, 0.2500) and Hg at (0.0000, 0.0000, 0.5000).

=====

2.
Computed, not measured: crystalline Ca3ZnGa at its relaxed geometry at the GGA-PBEsol level of DFT.

The calculation puts the density of states at the Fermi level at 5.41 states/eV/f.u. The formation energy comes out at 0.105 eV per atom.

It has space group Pm-3m (No. 221), with a = 5.6545 Å, b = 5.6545 Å, c = 5.6545 Å, α = 90.00°, β = 90.00° and γ = 90.00°. The distinct sites, in fractional coordinates, are Ca at (0.0000, 0.0000, 0.5000), Zn at (0.5000, 0.5000, 0.5000) and Ga at (0.0000, 0.0000, 0.0000).

=====

3.
Computed, not measured: crystalline Tl2InMo at its relaxed geometry at the GGA-PBEsol level of DFT.

The calculation puts the density of states at the Fermi level at 2.81 states/eV/f.u. The formation energy comes out at 0.850 eV per atom.

It has space group Fm-3m (No. 225), with a = 7.1554 Å, b = 7.1554 Å, c = 7.1554 Å, α = 90.00°, β = 90.00° and γ = 90.00°. The distinct sites, in fractional coordinates, are Tl at (0.2500, 0.2500, 0.2500), In at (0.0000, 0.0000, 0.0000) and Mo at (0.0000, 0.0000, 0.5000).